[1]
VASP calculation (GGA-PBE) on an optimized crystal structure of La2TbCeS5.

- E_form (uncorrected): -1.9630 eV/atom
- D(E_F): 17.76 states/eV per cell

```
18
Lattice="-1.208 -2.246 -3.134 -3.635 -3.989 6.864 -10.895 7.682 -1.305" Properties=species:S:1:pos:R:3 pbc="T T T"
La -12.418 1.339 1.223
La -7.676 4.088 0.030
La -4.464 0.915 1.065
La -5.685 -4.316 2.680
Tb -8.691 0.281 0.545
Tb -2.379 -2.124 2.439
Ce -11.350 5.583 -2.229
Ce -8.625 -1.148 4.148
S -13.990 3.574 2.833
S -12.178 3.630 -0.510
S -12.447 0.767 4.249
S -9.582 2.631 1.809
S -10.494 -0.960 2.129
S -6.802 1.437 -1.012
S -6.798 0.102 2.548
S -3.460 0.800 -1.844
S -4.660 -2.238 0.796
S -1.554 -0.195 0.739
```

[2]
VASP calculation (GGA-PBE) on an optimized crystal structure of LaCeTeS.

- E_form (uncorrected): -1.3180 eV/atom
- D(E_F): 7.01 states/eV per cell

```
4
Lattice="5.197 0.000 0.000 -2.598 4.501 0.000 0.000 0.000 5.541" Properties=species:S:1:pos:R:3 pbc="T T T"
La 0.000 0.000 0.000
Ce 0.000 3.000 2.770
Te 2.598 1.500 2.770
S 0.000 3.000 0.000
```

no.,final energy (eV for the cell shown),size of the total moment (μB per cell)
1,-117.45,2.63
2,-23.40,2.38